(1)
The following is a PBEsol calculation of an optimized crystal structure of Ba2ReIr, from Alexandria.

POSCAR file:
```
Ba2ReIr
1.0
3.0422 0.0000 0.0000
0.0000 3.8529 0.0000
-1.4700 0.0000 9.4378
Ba Re Ir
2 1 1
Cartesian
0.0000 0.0000 0.0000
-0.0024 1.9265 3.8301
0.1077 1.9265 7.0076
1.5907 0.0000 6.1813
```

## Properties
Total DFT energy (no corrections) = -6.378 eV/atom

---

(2)
The following is a PBEsol calculation of an optimized crystal structure of CsBi2Sb2, from Alexandria.

POSCAR file:
```
CsBi2Sb2
1.0
9.3582 0.0000 0.0000
0.0000 9.3582 0.0000
0.0000 0.0000 3.8664
Cs Bi Sb
2 4 4
Cartesian
0.0000 0.0000 0.0000
4.6791 4.6791 0.0000
1.1171 3.5620 0.0000
3.5620 8.2412 0.0000
5.7962 1.1171 0.0000
8.2412 5.7962 0.0000
1.4806 6.1597 1.9332
3.1985 1.4806 1.9332
6.1597 7.8776 1.9332
7.8776 3.1985 1.9332
```

## Properties
ΔE_f (raw) = -0.04 eV/atom

---

(3)
The following is a PBEsol calculation of an optimized crystal structure of Mn2W, from Alexandria.

POSCAR file:
```
Mn2W
1.0
4.6631 0.0000 0.0000
-2.3315 4.0383 0.0000
0.0000 0.0000 15.2968
Mn W
16 8
Cartesian
-1.1658 2.0192 0.0000
-1.1658 2.0192 7.6484
0.0000 1.2990 3.8242
-1.2066 3.3888 3.8242
1.1250 0.6495 11.4726
0.0000 2.6922 1.9535
0.0000 2.6922 5.6950
2.3315 0.0000 0.0000
2.3315 0.0000 7.6484
1.1658 2.0192 0.0000
1.1658 2.0192 7.6484
2.3315 1.3461 9.6019
2.3315 1.3461 13.3434
1.2066 3.3888 3.8242
3.5381 0.6495 11.4726
2.3315 2.7393 11.4726
0.0000 0.0000 1.4126
0.0000 0.0000 6.2358
0.0000 0.0000 9.0611
0.0000 0.0000 13.8842
0.0000 2.6922 10.0361
0.0000 2.6922 12.9092
2.3315 1.3461 2.3877
2.3315 1.3461 5.2608
```

## Properties
Total DFT energy (no corrections) = -11.193 eV/atom

---

(4)
The following is a PBEsol calculation of an optimized crystal structure of FeIrI2O, from Alexandria.

POSCAR file:
```
FeIrI2O
1.0
5.1242 0.0000 0.0000
0.0000 5.1242 0.0000
0.0000 0.0000 3.3595
Fe Ir I O
1 1 2 1
Cartesian
0.0000 0.0000 0.0000
2.5621 2.5621 1.6798
0.0000 2.5621 0.0000
2.5621 0.0000 0.0000
0.0000 0.0000 1.6798
```

## Properties
ΔE_f (raw) = 0.34 eV/atom

---

(5)
The following is a PBEsol calculation of an optimized crystal structure of SrBN2F, from Alexandria.

POSCAR file:
```
SrBN2F
1.0
3.2770 0.0000 0.0000
0.0000 3.2770 0.0000
0.0000 0.0000 4.7334
Sr B N F
1 1 2 1
Cartesian
0.0000 0.0000 0.0000
1.6385 1.6385 2.3667
0.0000 1.6385 2.3667
1.6385 0.0000 2.3667
1.6385 1.6385 0.0000
```

## Properties
ΔE_f (raw) = -0.81 eV/atom

---

(6)
The following is a PBEsol calculation of an optimized crystal structure of Cd2AgSbMo, from Alexandria.

POSCAR file:
```
Cd2AgSbMo
1.0
5.4522 0.0000 0.0000
0.0000 5.4522 0.0000
0.0000 0.0000 5.0277
Cd Ag Sb Mo
2 1 1 1
Cartesian
0.0000 2.7261 0.0000
2.7261 0.0000 0.0000
0.0000 0.0000 2.5139
0.0000 0.0000 0.0000
2.7261 2.7261 2.5139
```

## Properties
ΔE_f (raw) = 1.45 eV/atom

---

(7)
The following is a PBEsol calculation of an optimized crystal structure of ZnCuPO2, from Alexandria.

POSCAR file:
```
ZnCuPO2
1.0
3.6357 0.0000 0.0000
0.0000 3.6357 0.0000
0.0000 0.0000 4.7794
Zn Cu P O
1 1 1 2
Cartesian
0.0000 0.0000 0.0000
1.8179 1.8179 2.3897
1.8179 1.8179 0.0000
0.0000 1.8179 2.3897
1.8179 0.0000 2.3897
```

## Properties
ΔE_f (raw) = 0.21 eV/atom

---

(8)
The following is a PBEsol calculation of an optimized crystal structure of DyAlPd, from Alexandria.

POSCAR file:
```
DyAlPd
1.0
6.8318 0.0000 0.0000
0.0000 4.3836 0.0000
0.0000 0.0000 7.6863
Dy Al Pd
4 4 4
Cartesian
0.2220 1.0959 1.3808
3.1939 3.2877 5.2239
3.6379 1.0959 2.4624
6.6098 3.2877 6.3055
0.9823 1.0959 4.3277
2.4336 3.2877 0.4845
4.3981 1.0959 7.2018
5.8495 3.2877 3.3586
1.5653 3.2877 2.9425
1.8506 1.0959 6.7856
4.9812 3.2877 0.9007
5.2665 1.0959 4.7438
```

## Properties
Total DFT energy (no corrections) = -5.898 eV/atom

---

(9)
The following is a PBEsol calculation of an optimized crystal structure of Si3HW, from Alexandria.

POSCAR file:
```
Si3HW
1.0
4.7045 0.0000 0.0000
0.0000 4.7045 0.0000
0.0000 0.0000 4.7045
Si H W
3 1 1
Cartesian
0.0000 0.0000 2.3522
0.0000 2.3522 0.0000
2.3522 0.0000 0.0000
2.3522 2.3522 2.3522
0.0000 0.0000 0.0000
```

## Properties
Total DFT energy (no corrections) = -5.960 eV/atom

---

(10)
The following is a PBEsol calculation of an optimized crystal structure of RbSbTe2Br, from Alexandria.

POSCAR file:
```
RbSbTe2Br
1.0
5.6798 0.0000 0.0000
0.0000 5.6798 0.0000
0.0000 0.0000 5.6127
Rb Sb Te Br
1 1 2 1
Cartesian
0.0000 0.0000 0.0000
2.8399 2.8399 0.0000
0.0000 2.8399 2.8063
2.8399 0.0000 2.8063
2.8399 2.8399 2.8063
```

## Properties
ΔE_f (raw) = 0.24 eV/atom

---

(11)
The following is a PBEsol calculation of an optimized crystal structure of BaSrCo2O6, from Alexandria.

POSCAR file:
```
BaSrCo2O6
1.0
5.5007 0.0000 0.0000
-2.7503 4.7637 0.0000
0.0000 0.0000 4.6830
Ba Sr Co O
1 1 2 6
Cartesian
0.0000 0.0000 0.0000
2.7503 1.5879 2.3415
0.0000 3.1758 1.1646
0.0000 3.1758 3.5184
-1.2606 2.4480 0.0000
0.0000 1.7324 2.3415
-1.2500 3.8975 2.3415
1.2606 2.4480 0.0000
0.0000 4.6315 0.0000
1.2500 3.8975 2.3415
```

## Properties
ΔE_f (raw) = -1.84 eV/atom

---

(12)
The following is a PBEsol calculation of an optimized crystal structure of Rb3MnF6, from Alexandria.

POSCAR file:
```
Rb3MnF6
1.0
0.0000 4.5139 4.5139
4.5139 0.0000 4.5139
4.5139 4.5139 0.0000
Rb Mn F
3 1 6
Cartesian
0.0000 0.0000 0.0000
2.2570 2.2570 2.2570
6.7709 6.7709 6.7709
4.5139 4.5139 4.5139
4.5139 4.5139 2.5849
4.5139 2.5849 4.5139
6.4430 4.5139 4.5139
2.5849 4.5139 4.5139
4.5139 6.4430 4.5139
4.5139 4.5139 6.4430
```

## Properties
ΔE_f (raw) = -2.65 eV/atom

---

(13)
The following is a PBEsol calculation of an optimized crystal structure of Al2Ga2Bi, from Alexandria.

POSCAR file:
```
Al2Ga2Bi
1.0
-2.1288 2.1288 5.5777
2.1288 -2.1288 5.5777
2.1288 2.1288 -5.5777
Al Ga Bi
2 2 1
Cartesian
2.1288 0.0000 2.7889
0.0000 2.1288 2.7889
0.0000 0.0000 1.2294
0.0000 0.0000 9.9260
0.0000 0.0000 5.5777
```

## Properties
Total DFT energy (no corrections) = -3.735 eV/atom

---

(14)
The following is a PBEsol calculation of an optimized crystal structure of SrCrSN2, from Alexandria.

POSCAR file:
```
SrCrSN2
1.0
4.6043 0.0000 0.0000
0.0000 4.6043 0.0000
0.0000 0.0000 5.7677
Sr Cr S N
1 1 1 2
Cartesian
0.0000 0.0000 0.0000
2.3021 2.3021 2.8839
0.0000 0.0000 2.8839
0.0000 2.3021 0.0000
2.3021 0.0000 0.0000
```

## Properties
ΔE_f (raw) = 1.77 eV/atom

---

(15)
The following is a PBEsol calculation of an optimized crystal structure of SrRuW, from Alexandria.

POSCAR file:
```
SrRuW
1.0
-1.6049 1.6049 6.1095
1.6049 -1.6049 6.1095
1.6049 1.6049 -6.1095
Sr Ru W
1 1 1
Cartesian
0.0000 0.0000 0.0000
0.0000 0.0000 8.5859
0.0000 0.0000 3.5549
```

## Properties
Total DFT energy (no corrections) = -8.020 eV/atom

---

(16)
The following is a PBEsol calculation of an optimized crystal structure of SrTc3Cl, from Alexandria.

POSCAR file:
```
SrTc3Cl
1.0
4.4592 0.0000 0.0000
0.0000 4.4592 0.0000
0.0000 0.0000 4.4592
Sr Tc Cl
1 3 1
Cartesian
0.0000 0.0000 0.0000
0.0000 2.2296 2.2296
2.2296 0.0000 2.2296
2.2296 2.2296 0.0000
2.2296 2.2296 2.2296
```

## Properties
ΔE_f (raw) = 1.01 eV/atom

---

(17)
The following is a PBEsol calculation of an optimized crystal structure of Rb2Co3S4, from Alexandria.

POSCAR file:
```
Rb2Co3S4
1.0
-2.6161 5.2584 6.3348
2.6161 -5.2584 6.3348
2.6161 5.2584 -6.3348
Rb Co S
4 6 8
Cartesian
1.3024 1.3138 0.0000
1.3024 -1.3138 6.3348
1.3137 6.5722 0.0000
1.3137 3.9447 6.3348
2.6161 -2.5839 3.1674
2.6161 0.0000 3.1674
2.6161 2.5839 3.1674
0.0000 2.6745 3.1674
0.0000 5.2584 3.1674
0.0000 7.8424 3.1674
1.2876 -1.3014 2.0732
1.3285 3.9570 -2.0732
3.9445 1.3014 2.0732
1.2876 1.3014 4.2616
1.3285 3.9570 2.0732
-1.3285 3.9570 4.2616
1.2876 1.3014 8.4079
1.3285 6.5599 4.2616
```

## Properties
ΔE_f (raw) = -0.70 eV/atom

---

(18)
The following is a PBEsol calculation of an optimized crystal structure of NaHfNO2, from Alexandria.

POSCAR file:
```
NaHfNO2
1.0
4.0807 0.0000 0.0000
0.0000 4.0807 0.0000
0.0000 0.0000 4.2878
Na Hf N O
1 1 1 2
Cartesian
0.0000 0.0000 0.0000
2.0404 2.0404 2.1439
2.0404 2.0404 0.0000
0.0000 2.0404 2.1439
2.0404 0.0000 2.1439
```

## Properties
ΔE_f (raw) = -1.54 eV/atom

---

(19)
The following is a PBEsol calculation of an optimized crystal structure of CaTlRh3, from Alexandria.

POSCAR file:
```
CaTlRh3
1.0
4.6756 0.0000 0.0000
0.0000 4.6756 0.0000
0.0000 0.0000 4.6756
Ca Tl Rh
1 1 3
Cartesian
0.0000 0.0000 0.0000
2.3378 2.3378 2.3378
0.0000 0.0000 2.3378
0.0000 2.3378 0.0000
2.3378 0.0000 0.0000
```

## Properties
Total DFT energy (no corrections) = -4.435 eV/atom

---

(20)
The following is a PBEsol calculation of an optimized crystal structure of MgSiBr2, from Alexandria.

POSCAR file:
```
MgSiBr2
1.0
5.5821 -1.6860 0.0000
5.5821 1.6860 0.0000
-1.3456 0.0000 5.3692
Mg Si Br
1 1 2
Cartesian
0.0000 0.0000 0.0000
2.7954 0.0000 3.4438
4.7739 0.0000 2.0479
7.5613 0.0000 0.0646
```

## Properties
ΔE_f (raw) = -0.32 eV/atom

---

(21)
The following is a PBEsol calculation of an optimized crystal structure of BaTl2Tc, from Alexandria.

POSCAR file:
```
BaTl2Tc
1.0
-2.3803 2.3803 4.7015
2.3803 -2.3803 4.7015
2.3803 2.3803 -4.7015
Ba Tl Tc
1 2 1
Cartesian
0.0000 0.0000 0.0000
2.3803 0.0000 2.3507
0.0000 0.0000 4.7015
0.0000 2.3803 2.3507
```

## Properties
Total DFT energy (no corrections) = -3.961 eV/atom

---

(22)
The following is a PBEsol calculation of an optimized crystal structure of ZrTa2Al, from Alexandria.

POSCAR file:
```
ZrTa2Al
1.0
0.0000 3.3084 3.3084
3.3084 0.0000 3.3084
3.3084 3.3084 0.0000
Zr Ta Al
1 2 1
Cartesian
0.0000 0.0000 0.0000
1.6542 1.6542 1.6542
3.3084 3.3084 3.3084
4.9626 4.9626 4.9626
```

## Properties
Total DFT energy (no corrections) = -9.626 eV/atom

---

(23)
The following is a PBEsol calculation of an optimized crystal structure of KZrCr2, from Alexandria.

POSCAR file:
```
KZrCr2
1.0
3.0992 0.0000 0.0000
0.0000 4.2354 0.0000
0.0000 0.0000 7.2247
K Zr Cr
1 1 2
Cartesian
0.0000 0.0000 0.0000
0.0000 0.0000 3.6124
1.5496 2.1177 2.6724
1.5496 2.1177 4.5523
```

## Properties
Total DFT energy (no corrections) = -6.807 eV/atom

---

(24)
The following is a PBEsol calculation of an optimized crystal structure of TcAuS2, from Alexandria.

POSCAR file:
```
TcAuS2
1.0
0.0000 3.0720 3.0720
3.0720 0.0000 3.0720
3.0720 3.0720 0.0000
Tc Au S
1 1 2
Cartesian
0.0000 0.0000 0.0000
3.0720 3.0720 3.0720
1.5360 1.5360 1.5360
4.6080 4.6080 4.6080
```

## Properties
ΔE_f (raw) = 0.38 eV/atom

---

(25)
The following is a PBEsol calculation of an optimized crystal structure of Sr3GaCl, from Alexandria.

POSCAR file:
```
Sr3GaCl
1.0
6.0647 0.0000 0.0000
0.0000 6.0647 0.0000
0.0000 0.0000 6.0647
Sr Ga Cl
3 1 1
Cartesian
0.0000 0.0000 3.0324
0.0000 3.0324 0.0000
3.0324 0.0000 0.0000
0.0000 0.0000 0.0000
3.0324 3.0324 3.0324
```

## Properties
ΔE_f (raw) = -0.45 eV/atom

---

(26)
The following is a PBEsol calculation of an optimized crystal structure of MgZrBr2, from Alexandria.

POSCAR file:
```
MgZrBr2
1.0
-1.6418 2.7256 6.2395
1.6418 -2.7256 6.2395
1.6418 2.7256 -6.2395
Mg Zr Br
1 1 2
Cartesian
0.0000 0.0000 0.0000
0.0000 0.0000 6.2395
1.6418 0.0000 4.0947
0.0000 2.7256 2.1448
```

## Properties
ΔE_f (raw) = -0.63 eV/atom